(1)
A plane-wave DFT calculation with PBE-GGA was carried out for a geometry-optimized U4Cr structure.

- Fermi-level density of states (states/eV per cell) = 20.33
- E_form (eV/atom) = 0.93
- SG = No. 221

The structure in POSCAR format:
```
U4Cr
1.0
4.878 0.000 0.000
0.000 4.878 0.000
0.000 0.000 4.878
U Cr
4 1
Cartesian
0.000 0.000 0.000
0.000 2.439 2.439
2.439 0.000 2.439
2.439 2.439 0.000
2.439 2.439 2.439
```


(2)
A plane-wave DFT calculation with PBE-GGA was carried out for a geometry-optimized YMgCuH2 structure.

- Fermi-level density of states (states/eV per cell) = 2.67
- offset from the most stable computed form (eV per atom) = 0.000
- SG = No. 123

The structure in POSCAR format:
```
YMgCuH2
1.0
3.808 0.000 0.000
0.000 3.808 0.000
0.000 0.000 7.776
Y Mg Cu H
1 1 1 2
Cartesian
0.000 0.000 0.000
0.000 0.000 3.888
1.904 1.904 0.000
0.000 1.904 3.888
1.904 0.000 3.888
```


(3)
A plane-wave DFT calculation with PBE-GGA was carried out for a geometry-optimized Dy4Fe3C5 structure.

- Fermi-level density of states (states/eV per cell) = 6.46
- E_form (eV/atom) = -0.23
- SG = No. 12

The structure in POSCAR format:
```
Dy4Fe3C5
1.0
5.595 -1.864 0.000
5.595 1.864 0.000
-3.931 0.000 8.627
Dy Fe C
4 3 5
Cartesian
-0.390 0.000 3.429
-0.417 0.000 7.175
7.675 0.000 1.452
7.649 0.000 5.198
0.000 0.000 0.000
4.456 0.000 1.430
2.802 0.000 7.197
1.986 0.000 3.356
3.200 0.000 2.736
5.595 0.000 0.000
4.058 0.000 5.891
5.272 0.000 5.271
```


(4)
A plane-wave DFT calculation with PBE-GGA was carried out for a geometry-optimized CoTcNi4 structure.

- Fermi-level density of states (states/eV per cell) = 9.71
- offset from the most stable computed form (eV per atom) = 0.120
- E_form (eV/atom) = 0.18
- SG = No. 216

The structure in POSCAR format:
```
CoTcNi4
1.0
0.000 3.266 3.266
3.266 0.000 3.266
3.266 3.266 0.000
Co Tc Ni
1 1 4
Cartesian
0.000 0.000 0.000
1.633 1.633 1.633
4.084 2.449 2.449
2.449 4.084 2.449
2.449 2.449 4.084
4.084 4.084 4.084
```


(5)
A plane-wave DFT calculation with PBE-GGA was carried out for a geometry-optimized As3HS structure.

- Fermi-level density of states (states/eV per cell) = 3.22
- offset from the most stable computed form (eV per atom) = 0.000
- SG = No. 221

The structure in POSCAR format:
```
As3HS
1.0
4.269 0.000 0.000
0.000 4.269 0.000
0.000 0.000 4.269
As H S
3 1 1
Cartesian
0.000 0.000 2.135
0.000 2.135 0.000
2.135 0.000 0.000
0.000 0.000 0.000
2.135 2.135 2.135
```


(6)
A plane-wave DFT calculation with PBE-GGA was carried out for a geometry-optimized LiPrMnC structure.

- Fermi-level density of states (states/eV per cell) = 4.99
- E_form (eV/atom) = -0.04
- SG = No. 129

The structure in POSCAR format:
```
LiPrMnC
1.0
3.454 0.000 0.000
0.000 3.454 0.000
0.000 0.000 11.290
Li Pr Mn C
2 2 2 2
Cartesian
0.863 2.590 0.000
2.590 0.863 0.000
0.863 0.863 3.102
2.590 2.590 8.188
0.863 2.590 5.645
2.590 0.863 5.645
0.863 0.863 6.708
2.590 2.590 4.582
```


(7)
A plane-wave DFT calculation with PBE-GGA was carried out for a geometry-optimized Nd2Pu3UP6 structure.

- Fermi-level density of states (states/eV per cell) = 29.62
- E_form (eV/atom) = -1.25
- SG = No. 12

The structure in POSCAR format:
```
Nd2Pu3UP6
1.0
8.782 -2.021 0.000
8.782 2.021 0.000
-1.777 0.000 7.895
Nd Pu U P
2 3 1 6
Cartesian
2.329 0.000 2.650
13.458 0.000 5.245
1.462 0.000 6.598
7.894 0.000 3.948
14.326 0.000 1.298
8.782 0.000 0.000
-1.285 0.000 5.980
4.253 0.000 7.314
5.192 0.000 3.201
10.595 0.000 4.695
11.535 0.000 0.581
17.073 0.000 1.915
```


(8)
A plane-wave DFT calculation with PBE-GGA was carried out for a geometry-optimized PmNdGaNi structure.

- Fermi-level density of states (states/eV per cell) = 15.51
- offset from the most stable computed form (eV per atom) = 0.083
- E_form (eV/atom) = -0.34
- SG = No. 216

The structure in POSCAR format:
```
PmNdGaNi
1.0
7.208 0.000 0.000
0.000 7.208 0.000
0.000 0.000 7.208
Pm Nd Ga Ni
4 4 4 4
Cartesian
0.000 0.000 0.000
0.000 3.604 3.604
3.604 0.000 3.604
3.604 3.604 0.000
0.000 0.000 3.604
0.000 3.604 0.000
3.604 0.000 0.000
3.604 3.604 3.604
1.802 1.802 1.802
1.802 5.406 5.406
5.406 1.802 5.406
5.406 5.406 1.802
1.802 1.802 5.406
1.802 5.406 1.802
5.406 1.802 1.802
5.406 5.406 5.406
```